Record 1
Compound: BeMoBr3
Source: Alexandria via LeMat-Bulk
Functional: PBE-GGA
Structure: optimized geometry

The value obtained for the uncorrected formation energy is 412 meV/atom.

It has space group Pm-3m (No. 221), with a = 4.8904 Å, b = 4.8904 Å, c = 4.8904 Å, α = 90.00°, β = 90.00° and γ = 90.00°. Symmetry generates all atoms from Be at (0.0000, 0.0000, 0.0000), Mo at (0.5000, 0.5000, 0.5000) and Br at (0.0000, 0.0000, 0.5000).


Record 2
Compound: CdP
Source: Alexandria via LeMat-Bulk
Functional: PBE-GGA
Structure: optimized geometry

The value obtained for the energy of formation is 0.43 eV/f.u.

It has space group Cmcm (No. 63), with a = 5.9207 Å, b = 9.7297 Å, c = 3.1312 Å, α = 90.00°, β = 90.00° and γ = 90.00°. Symmetry generates all atoms from Cd at (0.0000, 0.1336, 0.2500) and P at (0.0000, 0.4247, 0.2500).


The calculation returns the following V values, one per record and in order: 117, 180 Å³ per cell.
The calculation returns the following energy relative to the lowest polymorph listed for this composition values, one per record and in order: 0, 255 meV/atom.
The calculation returns the following total DFT energy (no corrections) values, one per record and in order: -3.50, -2.95 eV/atom.